(1)
Here is an optimized crystal structure of Ca2RuCl from Alexandria via LeMat-Bulk. Energies are from GGA-PBEsol.

Calculated values
calculated density	3.998	Mg/m³
energy above the lowest structure with this stoichiometry	259	meV per atom
formation energy without anion corrections	-0.361	eV per atom
DOS(E_F)	1.078	states/eV per atom
space-group type	P4/mmm, No. 123
calculated volume	90.00	Å³ per cell

a = 4.0063 Å, b = 4.0063 Å, c = 5.6074 Å
α = 90.00°, β = 90.00°, γ = 90.00°
With the nearest neighbours (Å) after each atom.
Positions (direct):
Ru  0.5000  0.5000  0.8750  6 Ca 2.80-2.83
Cl  0.0000  0.0000  0.3747  6 Ca 2.80-2.83
Ca  0.5000  0.5000  0.3755  2 Ru 2.80-2.81, 4 Cl 2.83
Ca  0.0000  0.0000  0.8748  2 Cl 2.80, 4 Ru 2.83

=====

(2)
Here is an optimized crystal structure of SrAlSe from Alexandria via LeMat-Bulk. Energies are from GGA-PBEsol.

Calculated values
calculated density	3.216	Mg/m³
energy above the lowest structure with this stoichiometry	0	meV per atom
formation energy without anion corrections	-0.614	eV per atom
DOS(E_F)	0.538	states/eV per atom
space-group type	I4mm, No. 107
calculated volume	99.93	Å³ per cell

a = 4.2474 Å, b = 4.2474 Å, c = 6.3013 Å
α = 109.70°, β = 109.70°, γ = 90.00°
With the nearest neighbours (Å) after each atom.
Positions (direct):
Al  0.0243  0.0243  0.0487  1 Se 2.47
Sr  0.7286  0.7286  0.4572  4 Se 3.01, 1 Al 3.28
Se  0.2470  0.2470  0.4941  1 Al 2.47

=====

(3)
Here is an optimized crystal structure of LiFeF4 from Alexandria via LeMat-Bulk. Energies are from GGA-PBEsol.

Calculated values
calculated density	2.502	Mg/m³
energy above the lowest structure with this stoichiometry	69	meV per atom
formation energy without anion corrections	-2.332	eV per atom
DOS(E_F)	0.000	states/eV per atom
space-group type	P3_121, No. 152
calculated volume	276.29	Å³ per cell

a = 5.1965 Å, b = 5.1965 Å, c = 11.8145 Å
α = 90.00°, β = 90.00°, γ = 120.00°
With the nearest neighbours (Å) after each atom.
Positions (direct):
Fe  0.4267  0.0000  0.0000  4 F 1.82
Fe  0.0000  0.4267  0.3333  4 F 1.82
Fe  0.5733  0.5733  0.6667  4 F 1.82
F  0.0814  0.6746  0.4537  1 Fe 1.82, 1 Li 1.85
F  0.3135  0.3866  0.2898  1 Fe 1.82, 1 Li 1.87
F  0.9186  0.5932  0.2129  1 Fe 1.82, 1 Li 1.85
F  0.9269  0.6134  0.7102  1 Fe 1.82, 1 Li 1.87
F  0.6134  0.9269  0.6231  1 Fe 1.82, 1 Li 1.87
F  0.6865  0.0731  0.3769  1 Fe 1.82, 1 Li 1.87
F  0.4068  0.3254  0.5463  1 Fe 1.82, 1 Li 1.85
F  0.3254  0.4068  0.7871  1 Fe 1.82, 1 Li 1.85
F  0.0731  0.6865  0.9564  1 Fe 1.82, 1 Li 1.87
F  0.6746  0.0814  0.8796  1 Fe 1.82, 1 Li 1.85
F  0.3866  0.3135  0.0436  1 Fe 1.82, 1 Li 1.87
F  0.5932  0.9186  0.1204  1 Fe 1.82, 1 Li 1.85
Li  0.5668  0.5668  0.1667  4 F 1.85-1.87
Li  0.4332  0.0000  0.5000  4 F 1.85-1.87
Li  0.0000  0.4332  0.8333  4 F 1.85-1.87

=====

(4)
Here is an optimized crystal structure of BeS3I from Alexandria via LeMat-Bulk. Energies are from GGA-PBEsol.

Calculated values
calculated density	3.070	Mg/m³
formation energy without anion corrections	1.304	eV per atom
DOS(E_F)	0.636	states/eV per atom
space-group type	Pm-3m, No. 221
calculated volume	125.54	Å³ per cell

a = 5.0072 Å, b = 5.0072 Å, c = 5.0072 Å
α = 90.00°, β = 90.00°, γ = 90.00°
With the nearest neighbours (Å) after each atom.
Positions (direct):
S  0.0000  0.5000  0.0000  2 I 2.50
S  0.0000  0.0000  0.5000  2 I 2.50
S  0.5000  0.0000  0.0000  2 I 2.50
Be  0.5000  0.5000  0.5000  12 S 3.54
I  0.0000  0.0000  0.0000  6 S 2.50

=====

(5)
Here is an optimized crystal structure of Ba2Ni from Alexandria via LeMat-Bulk. Energies are from GGA-PBEsol.

Calculated values
calculated density	5.228	Mg/m³
formation energy from the elements	0.1520	eV/atom
DOS(E_F)	1.079	states/eV per atom
space-group type	Cmcm, No. 63
calculated volume	211.77	Å³ per cell

a = 5.3662 Å, b = 5.3583 Å, c = 7.8384 Å
α = 90.00°, β = 110.02°, γ = 90.00°
With the nearest neighbours (Å) after each atom.
Positions (direct):
Ni  0.2471  0.2500  0.0000  8 Ba 3.20-3.22
Ni  0.7529  0.7500  0.0000  8 Ba 3.20-3.22
Ba  0.6292  0.2500  0.7597  4 Ni 3.20-3.22, 1 Ba 3.54
Ba  0.8696  0.2500  0.2403  4 Ni 3.20-3.22, 1 Ba 3.54
Ba  0.3708  0.7500  0.2403  4 Ni 3.20-3.22, 1 Ba 3.54
Ba  0.1304  0.7500  0.7597  4 Ni 3.20-3.22, 1 Ba 3.54

=====

(6)
Here is an optimized crystal structure of Pr3Ag4Sn4 from Alexandria via LeMat-Bulk. Energies are from GGA-PBEsol.

Calculated values
calculated density	8.486	Mg/m³
formation energy from the elements	-0.6024	eV/atom
DOS(E_F)	0.227	states/eV per atom
space-group type	Immm, No. 71
calculated volume	260.06	Å³ per cell

a = 4.6334 Å, b = 7.2968 Å, c = 8.8232 Å
α = 114.43°, β = 105.22°, γ = 90.00°
With the nearest neighbours (Å) after each atom.
Positions (direct):
Sn  0.2159  0.7159  0.4317  6 Ag 2.80-2.84
Sn  0.7841  0.2841  0.5683  6 Ag 2.80-2.84
Sn  0.5000  0.8050  0.0000  2 Ag 2.74, 1 Sn 2.85
Sn  0.5000  0.1950  0.0000  2 Ag 2.74, 1 Sn 2.85
Pr  0.1297  0.1297  0.2594  6 Ag 3.28-3.39, 6 Sn 3.32-3.37
Pr  0.0000  0.5000  0.0000  6 Sn 3.21-3.32
Pr  0.8703  0.8703  0.7406  6 Ag 3.28-3.39, 6 Sn 3.32-3.37
Ag  0.6699  0.8636  0.3398  4 Sn 2.74-2.84, 1 Ag 2.83
Ag  0.3301  0.5238  0.6602  4 Sn 2.74-2.84, 1 Ag 2.83
Ag  0.3301  0.1364  0.6602  4 Sn 2.74-2.84, 1 Ag 2.83
Ag  0.6699  0.4762  0.3398  4 Sn 2.74-2.84, 1 Ag 2.83

=====

(7)
Here is an optimized crystal structure of LiAu2Cl from Alexandria via LeMat-Bulk. Energies are from GGA-PBEsol.

Calculated values
calculated density	8.875	Mg/m³
formation energy without anion corrections	-0.462	eV per atom
DOS(E_F)	0.284	states/eV per atom
space-group type	I-42d, No. 122
calculated volume	163.28	Å³ per cell

a = 3.6759 Å, b = 3.6759 Å, c = 12.3605 Å
α = 98.55°, β = 98.55°, γ = 90.00°
With the nearest neighbours (Å) after each atom.
Positions (direct):
Li  0.5000  0.5000  0.0000  4 Cl 2.60
Li  0.7500  0.2500  0.5000  4 Cl 2.60
Cl  0.0000  0.0000  0.0000  4 Li 2.60
Cl  0.2500  0.7500  0.5000  4 Li 2.60
Au  0.3757  0.8750  0.2500  4 Au 2.60
Au  0.6250  0.6243  0.7500  4 Au 2.60
Au  0.8743  0.3750  0.2500  4 Au 2.60
Au  0.1250  0.1257  0.7500  4 Au 2.60

=====

(8)
Here is an optimized crystal structure of YCrSeBr2 from Alexandria via LeMat-Bulk. Energies are from GGA-PBEsol.

Calculated values
calculated density	5.261	Mg/m³
formation energy without anion corrections	-0.507	eV per atom
DOS(E_F)	0.678	states/eV per atom
space-group type	P4/mmm, No. 123
calculated volume	119.84	Å³ per cell

a = 4.8682 Å, b = 4.8682 Å, c = 5.0569 Å
α = 90.00°, β = 90.00°, γ = 90.00°
With the nearest neighbours (Å) after each atom.
Positions (direct):
Se  0.0000  0.0000  0.5000  2 Cr 2.53
Y  0.5000  0.5000  0.5000  4 Se 3.44, 8 Br 3.51
Br  0.0000  0.5000  0.0000  2 Cr 2.43
Br  0.5000  0.0000  0.0000  2 Cr 2.43
Cr  0.0000  0.0000  0.0000  4 Br 2.43, 2 Se 2.53